No. 1
Entry from the Alexandria database: crystalline Li2TbZn4 at its relaxed geometry (PBE-GGA).

- final energy (eV per atom) = -2.12
- energy of formation from the pure elements (meV per atom) = -185

Lattice parameters (Å, degrees): 4.5042 3.1712 9.4316 99.68 103.81 90.00
Element x y z (fractional)
Tb  0.5000  0.0000  0.0000
Zn  0.9246  0.4246  0.8491
Zn  0.0754  0.5754  0.1509
Zn  0.3512  0.3512  0.7023
Zn  0.6488  0.6488  0.2977
Li  0.7998  0.7998  0.5996
Li  0.2002  0.2002  0.4004

No. 2
Entry from the Alexandria database: crystalline RbGaPb at its relaxed geometry (PBE-GGA).

- final energy (eV per atom) = -2.57
- energy of formation from the pure elements (meV per atom) = -1

Lattice parameters (Å, degrees): 5.2844 5.2844 8.0603 90.00 90.00 120.00
Element x y z (fractional)
Pb  0.0000  0.0000  0.7212
Pb  0.0000  0.0000  0.2788
Rb  0.6667  0.3333  0.5000
Rb  0.6667  0.3333  0.0000
Ga  0.3333  0.6667  0.8222
Ga  0.3333  0.6667  0.1778